[1]
DFT (PBE) results for an optimized crystal structure of BiBrCl.

Results
The value obtained for the total DFT energy (no corrections) is -35.18 eV for the cell shown. The calculation puts the energy above the most stable polymorph in this dataset at 51 meV/atom. As for the crystal system: orthorhombic. The formation energy from raw total energies is -0.465 eV/atom.

Unit cell a=4.8153 b=8.7598 c=11.8640 alpha=90.00 beta=90.00 gamma=90.00
Fractional positions:
Bi  0.2500  0.9470  0.9030
Bi  0.7500  0.4470  0.5970
Bi  0.7500  0.0530  0.0970
Bi  0.2500  0.5530  0.4030
Cl  0.7500  0.6019  0.2932
Cl  0.2500  0.1019  0.2068
Cl  0.7500  0.8981  0.7932
Cl  0.2500  0.3981  0.7068
Br  0.2500  0.8153  0.5092
Br  0.2500  0.6847  0.0092
Br  0.7500  0.1847  0.4908
Br  0.7500  0.3153  0.9908

[2]
DFT (PBE) results for an optimized crystal structure of BiBr2Cl.

Results
The value obtained for the total DFT energy (no corrections) is -8.43 eV for the cell shown. The calculation puts the energy above the most stable polymorph in this dataset at 953 meV/atom. As for the crystal system: trigonal. The formation energy from raw total energies is 0.162 eV/atom.

Unit cell a=10.4073 b=10.4073 c=10.4073 alpha=20.63 beta=20.63 gamma=20.63
Each line ends with the local moment (μB).
Fractional positions:
Bi  0.0000  0.0000  0.0000  -0.02
Br  0.9106  0.9106  0.9106  0.21
Br  0.0894  0.0894  0.0894  0.21
Cl  0.5000  0.5000  0.5000  0.49

[3]
DFT (PBE) results for an optimized crystal structure of Bi2BrCl5.

Results
The value obtained for the total DFT energy (no corrections) is -24.28 eV for the cell shown. As for the crystal system: orthorhombic. The formation energy from raw total energies is -0.701 eV/atom.

Unit cell a=4.5796 b=7.3056 c=7.3056 alpha=73.00 beta=71.73 gamma=71.73
Fractional positions:
Bi  0.7534  0.7466  0.7466
Bi  0.2466  0.2534  0.2534
Br  0.0000  0.0000  0.0000
Cl  0.0000  0.5000  0.5000
Cl  0.6689  0.5119  0.1502
Cl  0.3311  0.4881  0.8498
Cl  0.3311  0.8498  0.4881
Cl  0.6689  0.1502  0.5119

[4]
DFT (PBE) results for an optimized crystal structure of Bi2Br3Cl.

Results
The value obtained for the total DFT energy (no corrections) is -36.22 eV for the cell shown. As for the crystal system: monoclinic. The formation energy from raw total energies is -0.580 eV/atom.

Unit cell a=4.1680 b=7.6006 c=17.7517 alpha=101.49 beta=96.74 gamma=90.00
Fractional positions:
Bi  0.2805  0.5683  0.5610
Bi  0.7195  0.4317  0.4390
Bi  0.9371  0.8589  0.8741
Bi  0.0629  0.1411  0.1259
Br  0.3028  0.2544  0.6057
Br  0.0133  0.7822  0.0266
Br  0.4223  0.5819  0.8446
Br  0.6972  0.7456  0.3943
Br  0.5777  0.4181  0.1554
Br  0.9867  0.2178  0.9734
Cl  0.4011  0.0116  0.8021
Cl  0.5989  0.9884  0.1979

[5]
DFT (PBE) results for an optimized crystal structure of BiBr2Cl.

Results
The value obtained for the total DFT energy (no corrections) is -23.59 eV for the cell shown. The calculation puts the energy above the most stable polymorph in this dataset at 111 meV/atom. As for the crystal system: tetragonal. The formation energy from raw total energies is -0.681 eV/atom.

Unit cell a=10.3136 b=10.3136 c=7.7910 alpha=48.56 beta=48.56 gamma=90.00
Fractional positions:
Bi  0.0000  0.0000  0.0000
Bi  0.7500  0.2500  0.5000
Br  0.7610  0.1250  0.2500
Br  0.9890  0.6250  0.2500
Br  0.3750  0.2390  0.7500
Br  0.8750  0.0110  0.7500
Cl  0.5000  0.5000  0.0000
Cl  0.2500  0.7500  0.5000

[6]
DFT (PBE) results for an optimized crystal structure of Bi2BrCl.

Results
The value obtained for the total DFT energy (no corrections) is -23.15 eV for the cell shown. The calculation puts the energy above the most stable polymorph in this dataset at 0 meV/atom. As for the crystal system: tetragonal. The formation energy from raw total energies is -0.074 eV/atom.

Unit cell a=8.5168 b=8.5168 c=6.8932 alpha=51.85 beta=51.85 gamma=90.00
Fractional positions:
Bi  0.6191  0.1250  0.2500
Bi  0.1309  0.6250  0.2500
Bi  0.3750  0.3809  0.7500
Bi  0.8750  0.8691  0.7500
Br  0.0000  0.0000  0.0000
Br  0.7500  0.2500  0.5000
Cl  0.5000  0.5000  0.0000
Cl  0.2500  0.7500  0.5000

[7]
DFT (PBE) results for an optimized crystal structure of CoBiBr2Cl.

Results
The value obtained for the total DFT energy (no corrections) is -14.38 eV for the cell shown. As for the crystal system: tetragonal. The formation energy from raw total energies is 0.359 eV/atom.

Unit cell a=5.8195 b=5.4533 c=5.8195 alpha=90.00 beta=90.00 gamma=90.00
Each line ends with the local moment (μB).
Fractional positions:
Co  0.5000  0.5000  0.5000  2.67
Bi  0.0000  0.0000  0.0000  -0.07
Br  0.0000  0.0000  0.5000  0.03
Br  0.5000  0.0000  0.0000  0.03
Cl  0.0000  0.5000  0.0000  0.01

[8]
DFT (PBE) results for an optimized crystal structure of Cs2BiBrCl6.

Results
The value obtained for the total DFT energy (no corrections) is -59.62 eV for the cell shown. The calculation puts the energy above the most stable polymorph in this dataset at 0 meV/atom. As for the crystal system: orthorhombic. The formation energy from raw total energies is -1.147 eV/atom.

Unit cell a=7.7654 b=7.8059 c=12.3589 alpha=90.00 beta=90.00 gamma=90.00
Fractional positions:
Cs  0.5000  0.7503  0.2497
Cs  0.0000  0.2497  0.7497
Cs  0.5000  0.7503  0.7503
Cs  0.0000  0.2497  0.2503
Bi  0.5000  0.2312  0.5000
Bi  0.0000  0.7688  0.0000
Br  0.0000  0.7304  0.5000
Br  0.5000  0.2696  0.0000
Cl  0.5000  0.2330  0.2841
Cl  0.5000  0.2330  0.7159
Cl  0.0000  0.7670  0.2159
Cl  0.0000  0.7670  0.7841
Cl  0.2612  0.9915  0.5000
Cl  0.7388  0.9915  0.5000
Cl  0.2594  0.4695  0.5000
Cl  0.7406  0.4695  0.5000
Cl  0.7594  0.5305  0.0000
Cl  0.2406  0.5305  0.0000
Cl  0.2388  0.0085  0.0000
Cl  0.7612  0.0085  0.0000

[9]
DFT (PBE) results for an optimized crystal structure of CsBiBrCl2.

Results
The value obtained for the total DFT energy (no corrections) is -15.91 eV for the cell shown. As for the crystal system: tetragonal. The formation energy from raw total energies is -1.162 eV/atom.

Unit cell a=5.6852 b=5.6852 c=5.9805 alpha=90.00 beta=90.00 gamma=90.00
Fractional positions:
Cs  0.5000  0.5000  0.5000
Bi  0.0000  0.0000  0.0000
Br  0.0000  0.0000  0.5000
Cl  0.0000  0.5000  0.0000
Cl  0.5000  0.0000  0.0000

[10]
DFT (PBE) results for an optimized crystal structure of Cs2BiBrCl6.

Results
The value obtained for the total DFT energy (no corrections) is -29.77 eV for the cell shown. The calculation puts the energy above the most stable polymorph in this dataset at 4 meV/atom. As for the crystal system: tetragonal. The formation energy from raw total energies is -1.143 eV/atom.

Unit cell a=7.7927 b=7.7927 c=8.2690 alpha=61.89 beta=61.89 gamma=90.00
Fractional positions:
Cs  0.7500  0.2500  0.5000
Cs  0.2500  0.7500  0.5000
Bi  0.0000  0.0000  0.0000
Br  0.5000  0.5000  0.0000
Cl  0.2163  0.2163  0.5673
Cl  0.7837  0.7837  0.4327
Cl  0.2395  0.2395  0.0000
Cl  0.7605  0.7605  0.0000
Cl  0.7605  0.2395  0.0000
Cl  0.2395  0.7605  0.0000

[11]
DFT (PBE) results for an optimized crystal structure of Ga2BiBr6Cl2.

Results
The value obtained for the total DFT energy (no corrections) is -31.63 eV for the cell shown. As for the crystal system: trigonal. The formation energy from raw total energies is -0.724 eV/atom.

Unit cell a=7.1524 b=7.1524 c=9.8542 alpha=90.00 beta=90.00 gamma=120.00
Fractional positions:
Ga  0.3333  0.6667  0.7290
Ga  0.6667  0.3333  0.2710
Bi  0.0000  0.0000  0.0000
Br  0.3270  0.3442  0.8212
Br  0.0172  0.6730  0.8212
Br  0.6558  0.9828  0.8212
Br  0.6730  0.6558  0.1788
Br  0.9828  0.3270  0.1788
Br  0.3442  0.0172  0.1788
Cl  0.3333  0.6667  0.5100
Cl  0.6667  0.3333  0.4900

[12]
DFT (PBE) results for an optimized crystal structure of HfBiBr2Cl.

Results
The value obtained for the total DFT energy (no corrections) is -17.22 eV for the cell shown. As for the crystal system: tetragonal. The formation energy from raw total energies is 0.361 eV/atom.

Unit cell a=5.8942 b=4.6255 c=5.8942 alpha=90.00 beta=90.00 gamma=90.00
Fractional positions:
Hf  0.0000  0.5000  0.0000
Bi  0.5000  0.5000  0.5000
Br  0.0000  0.0000  0.5000
Br  0.5000  0.0000  0.0000
Cl  0.0000  0.0000  0.0000

[13]
DFT (PBE) results for an optimized crystal structure of HgBiBr2Cl.

Results
The value obtained for the total DFT energy (no corrections) is -11.97 eV for the cell shown. As for the crystal system: tetragonal. The formation energy from raw total energies is -0.518 eV/atom.

Unit cell a=5.7502 b=5.7502 c=5.4679 alpha=90.00 beta=90.00 gamma=90.00
Fractional positions:
Cl  0.0000  0.0000  0.5000
Bi  0.0000  0.0000  0.0000
Br  0.0000  0.5000  0.0000
Br  0.5000  0.0000  0.0000
Hg  0.5000  0.5000  0.5000